DFT (PBE) results for a relaxed structure of Dy5Ge3B.

```
data_Dy5Ge3B
_cell_length_a 8.6075
_cell_length_b 8.6075
_cell_length_c 6.4046
_cell_angle_alpha 90.00
_cell_angle_beta 90.00
_cell_angle_gamma 120.00
_symmetry_space_group_name_H-M 'P 63/m c m'
_symmetry_Int_Tables_number 193
_symmetry_space_group_name_Hall '-P 6c 2'
loop_
_atom_site_label
_atom_site_type_symbol
_atom_site_fract_x
_atom_site_fract_y
_atom_site_fract_z
_atom_site_occupancy
Dy1 Dy 0.0000 0.2368 0.2500 1
Dy2 Dy 0.3333 0.6667 0.0000 1
Ge1 Ge 0.0000 0.4002 0.7500 1
B1 B 0.0000 0.0000 0.0000 1
```

Computed properties:
Energy relative to the elements   -0.647 eV/atom
Crystal system   hexagonal

DFT (PBE) results for a relaxed structure of Dy2GeB2Ir5.

```
data_Dy2GeB2Ir5
_cell_length_a 9.481
_cell_length_b 9.481
_cell_length_c 3.261
_cell_angle_alpha 90.00
_cell_angle_beta 90.00
_cell_angle_gamma 90.00
_symmetry_space_group_name_H-M 'P 4/m b m'
_symmetry_Int_Tables_number 127
_symmetry_space_group_name_Hall '-P 4 2ab'
loop_
_atom_site_label
_atom_site_type_symbol
_atom_site_fract_x
_atom_site_fract_y
_atom_site_fract_z
_atom_site_occupancy
Dy1 Dy 0.177 0.323 0.000 1
Ge1 Ge 0.000 0.000 0.000 1
B1 B 0.122 0.622 0.000 1
Ir1 Ir 0.000 0.500 0.500 1
Ir2 Ir 0.069 0.781 0.500 1
```

Computed properties:
Energy relative to the elements   -0.695 eV/atom
Crystal system   tetragonal

DFT (PBE) results for a relaxed structure of Dy2GeBPt6.

```
data_Dy2GeBPt6
_cell_length_a 5.681
_cell_length_b 8.599
_cell_length_c 7.347
_cell_angle_alpha 90.00
_cell_angle_beta 90.00
_cell_angle_gamma 90.00
_symmetry_space_group_name_H-M 'P m m n'
_symmetry_Int_Tables_number 59
loop_
_symmetry_equiv_pos_as_xyz
'x,y,z'
'-x,-y,-z'
'-x+1/2,-y+1/2,z'
'x+1/2,y+1/2,-z'
'x+1/2,-y,-z'
'-x+1/2,y,z'
'-x,y+1/2,-z'
'x,-y+1/2,z'
loop_
_atom_site_label
_atom_site_type_symbol
_atom_site_fract_x
_atom_site_fract_y
_atom_site_fract_z
_atom_site_occupancy
Dy1 Dy 0.250 0.032 0.222 1
Ge1 Ge 0.250 0.750 0.814 1
B1 B 0.250 0.250 0.701 1
Pt1 Pt 0.003 0.250 0.915 1
Pt2 Pt 0.007 0.750 0.507 1
Pt3 Pt 0.250 0.004 0.650 1
```

Computed properties:
Energy relative to the elements   -0.886 eV/atom
Crystal system   orthorhombic

DFT (PBE) results for a relaxed structure of Dy3GeB2Rh9.

```
data_Dy3GeB2Rh9
_cell_length_a 6.0838
_cell_length_b 6.0838
_cell_length_c 7.5455
_cell_angle_alpha 90.00
_cell_angle_beta 90.00
_cell_angle_gamma 120.00
_symmetry_space_group_name_H-M 'P -3 m 1'
_symmetry_Int_Tables_number 164
_symmetry_space_group_name_Hall '-P 3 2"'
loop_
_atom_site_label
_atom_site_type_symbol
_atom_site_fract_x
_atom_site_fract_y
_atom_site_fract_z
_atom_site_occupancy
Dy1 Dy 0.0000 0.0000 0.0000 1
Dy2 Dy 0.3333 0.6667 0.6646 1
Ge1 Ge 0.0000 0.0000 0.5000 1
B1 B 0.3333 0.6667 0.1462 1
Rh1 Rh 0.0000 0.5000 0.0000 1
Rh2 Rh 0.1772 0.3543 0.3130 1
```

Computed properties:
Energy relative to the elements   -0.699 eV/atom
Crystal system   trigonal

What did the first record say?
DFT (PBE) results for a relaxed structure of Dy5Ge3B.

```
data_Dy5Ge3B
_cell_length_a 8.6075
_cell_length_b 8.6075
_cell_length_c 6.4046
_cell_angle_alpha 90.00
_cell_angle_beta 90.00
_cell_angle_gamma 120.00
_symmetry_space_group_name_H-M 'P 63/m c m'
_symmetry_Int_Tables_number 193
_symmetry_space_group_name_Hall '-P 6c 2'
loop_
_atom_site_label
_atom_site_type_symbol
_atom_site_fract_x
_atom_site_fract_y
_atom_site_fract_z
_atom_site_occupancy
Dy1 Dy 0.0000 0.2368 0.2500 1
Dy2 Dy 0.3333 0.6667 0.0000 1
Ge1 Ge 0.0000 0.4002 0.7500 1
B1 B 0.0000 0.0000 0.0000 1
```

Computed properties:
Energy relative to the elements   -0.647 eV/atom
Crystal system   hexagonal